Arrangement A

Compound: POsPt
Source: Alexandria
Functional: SCAN
Structure: single point on PBEsol structure

Cell and atoms, written as CIF:
```
data_POsPt
_chemical_formula_sum 'P4 Os4 Pt4'
_cell_length_a 5.8047
_cell_length_b 5.8047
_cell_length_c 5.8047
_cell_angle_alpha 90.00
_cell_angle_beta 90.00
_cell_angle_gamma 90.00
_space_group_name_H-M_alt 'F -4 3 m'
_space_group_IT_number 216
_space_group_name_Hall 'F -4 2 3'
loop_
_atom_site_label
_atom_site_type_symbol
_atom_site_fract_x
_atom_site_fract_y
_atom_site_fract_z
P1 P 0.0000 0.0000 0.0000
Os1 Os 0.2500 0.2500 0.7500
Pt1 Pt 0.0000 0.0000 0.5000
```

Computed properties:
For the density of states at the Fermi level, the calculation gives 7.80 states/eV per cell. As for the volume: 195.6 Å³ per cell.

Arrangement B

Compound: POsPt
Source: Alexandria
Functional: SCAN
Structure: single point on PBEsol structure

Cell and atoms, written as CIF:
```
data_POsPt
_chemical_formula_sum 'P2 Os2 Pt2'
_cell_length_a 2.9051
_cell_length_b 2.9051
_cell_length_c 9.7653
_cell_angle_alpha 90.00
_cell_angle_beta 90.00
_cell_angle_gamma 90.00
_space_group_name_H-M_alt 'I 4 m m'
_space_group_IT_number 107
_space_group_name_Hall 'I 4 -2'
loop_
_atom_site_label
_atom_site_type_symbol
_atom_site_fract_x
_atom_site_fract_y
_atom_site_fract_z
P1 P 0.0000 0.0000 0.0000
Os1 Os 0.0000 0.0000 0.3753
Pt1 Pt 0.0000 0.0000 0.6655
```

Computed properties:
For the density of states at the Fermi level, the calculation gives 4.67 states/eV per cell. As for the volume: 82.4 Å³ per cell.

Which structure loses on stability? arrangement A does.

Arrangement A

Compound: ReP2Os
Source: Alexandria
Functional: SCAN
Structure: single point on PBEsol structure

Cell and atoms, written as CIF:
```
data_ReP2Os
_chemical_formula_sum 'Re4 P8 Os4'
_cell_length_a 5.8689
_cell_length_b 5.8689
_cell_length_c 5.8689
_cell_angle_alpha 90.00
_cell_angle_beta 90.00
_cell_angle_gamma 90.00
_space_group_name_H-M_alt 'F m -3 m'
_space_group_IT_number 225
_space_group_name_Hall '-F 4 2 3'
loop_
_atom_site_label
_atom_site_type_symbol
_atom_site_fract_x
_atom_site_fract_y
_atom_site_fract_z
Re1 Re 0.0000 0.0000 0.0000
P1 P 0.2500 0.2500 0.2500
Os1 Os 0.0000 0.0000 0.5000
```

Computed properties:
For the density of states at the Fermi level, the calculation gives 6.47 states/eV per cell. As for the volume: 202.1 Å³ per cell.

Arrangement B

Compound: ReP2Os
Source: Alexandria
Functional: SCAN
Structure: single point on PBEsol structure

Cell and atoms, written as CIF:
```
data_ReP2Os
_chemical_formula_sum 'Re2 P4 Os2'
_cell_length_a 2.9070
_cell_length_b 4.0034
_cell_length_c 9.1821
_cell_angle_alpha 90.00
_cell_angle_beta 90.00
_cell_angle_gamma 90.00
_space_group_name_H-M_alt 'I m m 2'
_space_group_IT_number 44
_space_group_name_Hall 'I 2 -2'
loop_
_atom_site_label
_atom_site_type_symbol
_atom_site_fract_x
_atom_site_fract_y
_atom_site_fract_z
Re1 Re 0.0000 0.0000 0.0000
P1 P 0.0000 0.0000 0.4968
P2 P 0.0000 0.5000 0.2734
Os1 Os 0.0000 0.5000 0.7767
```

Computed properties:
For the density of states at the Fermi level, the calculation gives 5.43 states/eV per cell. As for the volume: 106.9 Å³ per cell.

Which structure loses on stability? arrangement B does.

Arrangement A

Compound: P2OsRh
Source: Alexandria
Functional: SCAN
Structure: single point on PBEsol structure

Cell and atoms, written as CIF:
```
data_P2OsRh
_chemical_formula_sum 'P4 Os2 Rh2'
_cell_length_a 7.4601
_cell_length_b 2.9064
_cell_length_c 5.3129
_cell_angle_alpha 90.00
_cell_angle_beta 90.91
_cell_angle_gamma 90.00
_space_group_name_H-M_alt 'C 1 m 1'
_space_group_IT_number 8
_space_group_name_Hall 'C -2y'
loop_
_atom_site_label
_atom_site_type_symbol
_atom_site_fract_x
_atom_site_fract_y
_atom_site_fract_z
P1 P 0.0000 0.0000 0.0000
P2 P 0.1608 0.5000 0.4829
Os1 Os 0.2780 0.0000 0.1850
Rh1 Rh 0.3923 0.0000 0.6876
```

Computed properties:
For the density of states at the Fermi level, the calculation gives 2.85 states/eV per cell. As for the volume: 115.2 Å³ per cell.

Arrangement B

Compound: P2OsRh
Source: Alexandria
Functional: SCAN
Structure: single point on PBEsol structure

Cell and atoms, written as CIF:
```
data_P2OsRh
_chemical_formula_sum 'P4 Os2 Rh2'
_cell_length_a 2.9274
_cell_length_b 4.0261
_cell_length_c 9.1538
_cell_angle_alpha 90.00
_cell_angle_beta 90.00
_cell_angle_gamma 90.00
_space_group_name_H-M_alt 'I m m 2'
_space_group_IT_number 44
_space_group_name_Hall 'I 2 -2'
loop_
_atom_site_label
_atom_site_type_symbol
_atom_site_fract_x
_atom_site_fract_y
_atom_site_fract_z
P1 P 0.0000 0.0000 0.0000
P2 P 0.0000 0.5000 0.2242
Os1 Os 0.0000 0.0000 0.5149
Rh1 Rh 0.0000 0.5000 0.7257
```

Computed properties:
For the density of states at the Fermi level, the calculation gives 4.27 states/eV per cell. As for the volume: 107.9 Å³ per cell.

Arrangement C

Compound: P2OsRh
Source: Alexandria
Functional: SCAN
Structure: single point on PBEsol structure

Cell and atoms, written as CIF:
```
data_P2OsRh
_chemical_formula_sum 'P4 Os2 Rh2'
_cell_length_a 7.4820
_cell_length_b 2.8915
_cell_length_c 4.9359
_cell_angle_alpha 90.00
_cell_angle_beta 102.36
_cell_angle_gamma 90.00
_space_group_name_H-M_alt 'C 1 2/m 1'
_space_group_IT_number 12
_space_group_name_Hall '-C 2y'
loop_
_atom_site_label
_atom_site_type_symbol
_atom_site_fract_x
_atom_site_fract_y
_atom_site_fract_z
P1 P 0.2459 0.0000 0.2418
Os1 Os 0.0000 0.5000 0.0000
Rh1 Rh 0.0000 0.0000 0.5000
```

Computed properties:
For the density of states at the Fermi level, the calculation gives 3.31 states/eV per cell. As for the volume: 104.3 Å³ per cell.

Arrangement D

Compound: P2OsRh
Source: Alexandria
Functional: SCAN
Structure: single point on PBEsol structure

Cell and atoms, written as CIF:
```
data_P2OsRh
_chemical_formula_sum 'P2 Os1 Rh1'
_cell_length_a 2.8176
_cell_length_b 2.8176
_cell_length_c 7.4157
_cell_angle_alpha 90.00
_cell_angle_beta 90.00
_cell_angle_gamma 90.00
_space_group_name_H-M_alt 'P 4 m m'
_space_group_IT_number 99
_space_group_name_Hall 'P 4 -2'
loop_
_atom_site_label
_atom_site_type_symbol
_atom_site_fract_x
_atom_site_fract_y
_atom_site_fract_z
P1 P 0.0000 0.0000 0.0000
P2 P 0.5000 0.5000 0.3599
Os1 Os 0.5000 0.5000 0.8194
Rh1 Rh 0.0000 0.0000 0.5440
```

Computed properties:
For the density of states at the Fermi level, the calculation gives 2.32 states/eV per cell. As for the volume: 58.9 Å³ per cell.

Which structure loses on stability? arrangement B does.

Arrangement A

Compound: ScP2Os
Source: Alexandria
Functional: SCAN
Structure: single point on PBEsol structure

Cell and atoms, written as CIF:
```
data_ScP2Os
_chemical_formula_sum 'Sc1 P2 Os1'
_cell_length_a 3.3147
_cell_length_b 3.8533
_cell_length_c 4.8207
_cell_angle_alpha 90.00
_cell_angle_beta 90.00
_cell_angle_gamma 90.00
_space_group_name_H-M_alt 'P m m m'
_space_group_IT_number 47
_space_group_name_Hall '-P 2 2'
loop_
_atom_site_label
_atom_site_type_symbol
_atom_site_fract_x
_atom_site_fract_y
_atom_site_fract_z
Sc1 Sc 0.0000 0.0000 0.0000
P1 P 0.5000 0.5000 0.2283
Os1 Os 0.5000 0.0000 0.5000
```

Computed properties:
For the density of states at the Fermi level, the calculation gives 1.91 states/eV per cell. As for the volume: 61.6 Å³ per cell.

Arrangement B

Compound: ScP2Os
Source: Alexandria
Functional: SCAN
Structure: single point on PBEsol structure

Cell and atoms, written as CIF:
```
data_ScP2Os
_chemical_formula_sum 'Sc3 P6 Os3'
_cell_length_a 3.0500
_cell_length_b 3.0500
_cell_length_c 22.6012
_cell_angle_alpha 90.00
_cell_angle_beta 90.00
_cell_angle_gamma 120.00
_space_group_name_H-M_alt 'R 3 m'
_space_group_IT_number 160
_space_group_name_Hall 'R 3 -2"'
loop_
_atom_site_label
_atom_site_type_symbol
_atom_site_fract_x
_atom_site_fract_y
_atom_site_fract_z
Sc1 Sc 0.0000 0.0000 0.0000
P1 P 0.0000 0.0000 0.4984
P2 P 0.0000 0.0000 0.7556
Os1 Os 0.0000 0.0000 0.2365
```

Computed properties:
For the density of states at the Fermi level, the calculation gives 7.51 states/eV per cell. As for the volume: 182.1 Å³ per cell.

Which structure loses on stability? arrangement B does.

Arrangement A

Compound: SrP2Os
Source: Alexandria
Functional: SCAN
Structure: single point on PBEsol structure

Cell and atoms, written as CIF:
```
data_SrP2Os
_chemical_formula_sum 'Sr2 P4 Os2'
_cell_length_a 4.1645
_cell_length_b 3.8043
_cell_length_c 11.5885
_cell_angle_alpha 90.00
_cell_angle_beta 90.00
_cell_angle_gamma 90.00
_space_group_name_H-M_alt 'A m m 2'
_space_group_IT_number 38
_space_group_name_Hall 'A 2 -2'
loop_
_atom_site_label
_atom_site_type_symbol
_atom_site_fract_x
_atom_site_fract_y
_atom_site_fract_z
Sr1 Sr 0.0000 0.0000 0.0000
P1 P 0.0000 0.0000 0.2977
P2 P 0.5000 0.0000 0.6199
Os1 Os 0.5000 0.0000 0.2259
```

Computed properties:
For the density of states at the Fermi level, the calculation gives 3.89 states/eV per cell. As for the volume: 183.6 Å³ per cell.

Arrangement B

Compound: SrP2Os
Source: Alexandria
Functional: SCAN
Structure: single point on PBEsol structure

Cell and atoms, written as CIF:
```
data_SrP2Os
_chemical_formula_sum 'Sr1 P2 Os1'
_cell_length_a 3.0733
_cell_length_b 3.0733
_cell_length_c 7.0596
_cell_angle_alpha 90.00
_cell_angle_beta 90.00
_cell_angle_gamma 90.00
_space_group_name_H-M_alt 'P 4/m m m'
_space_group_IT_number 123
_space_group_name_Hall '-P 4 2'
loop_
_atom_site_label
_atom_site_type_symbol
_atom_site_fract_x
_atom_site_fract_y
_atom_site_fract_z
Sr1 Sr 0.0000 0.0000 0.0000
P1 P 0.5000 0.5000 0.3068
Os1 Os 0.0000 0.0000 0.5000
```

Computed properties:
For the density of states at the Fermi level, the calculation gives 2.20 states/eV per cell. As for the volume: 66.7 Å³ per cell.

Arrangement C

Compound: SrP2Os
Source: Alexandria
Functional: SCAN
Structure: single point on PBEsol structure

Cell and atoms, written as CIF:
```
data_SrP2Os
_chemical_formula_sum 'Sr2 P4 Os2'
_cell_length_a 4.0102
_cell_length_b 5.8567
_cell_length_c 6.8674
_cell_angle_alpha 90.00
_cell_angle_beta 90.00
_cell_angle_gamma 90.00
_space_group_name_H-M_alt 'I m m m'
_space_group_IT_number 71
_space_group_name_Hall '-I 2 2'
loop_
_atom_site_label
_atom_site_type_symbol
_atom_site_fract_x
_atom_site_fract_y
_atom_site_fract_z
Sr1 Sr 0.0000 0.0000 0.0000
P1 P 0.0000 0.5000 0.1698
Os1 Os 0.0000 0.0000 0.5000
```

Computed properties:
For the density of states at the Fermi level, the calculation gives 3.43 states/eV per cell. As for the volume: 161.3 Å³ per cell.

Which structure loses on stability? arrangement B does.

Arrangement A

Compound: TlP2Os
Source: Alexandria
Functional: SCAN
Structure: single point on PBEsol structure

Cell and atoms, written as CIF:
```
data_TlP2Os
_chemical_formula_sum 'Tl1 P2 Os1'
_cell_length_a 3.7811
_cell_length_b 3.4689
_cell_length_c 5.8965
_cell_angle_alpha 90.00
_cell_angle_beta 106.89
_cell_angle_gamma 90.00
_space_group_name_H-M_alt 'P 1 m 1'
_space_group_IT_number 6
_space_group_name_Hall 'P -2y'
loop_
_atom_site_label
_atom_site_type_symbol
_atom_site_fract_x
_atom_site_fract_y
_atom_site_fract_z
Tl1 Tl 0.0000 0.0000 0.0000
P1 P 0.2210 0.5000 0.5177
P2 P 0.6185 0.0000 0.5309
Os1 Os 0.6343 0.5000 0.2699
```

Computed properties:
For the density of states at the Fermi level, the calculation gives 1.72 states/eV per cell. As for the volume: 74.0 Å³ per cell.

Arrangement B

Compound: TlP2Os
Source: Alexandria
Functional: SCAN
Structure: single point on PBEsol structure

Cell and atoms, written as CIF:
```
data_TlP2Os
_chemical_formula_sum 'Tl1 P2 Os1'
_cell_length_a 3.2182
_cell_length_b 4.4137
_cell_length_c 4.5906
_cell_angle_alpha 90.00
_cell_angle_beta 90.00
_cell_angle_gamma 90.00
_space_group_name_H-M_alt 'P m m m'
_space_group_IT_number 47
_space_group_name_Hall '-P 2 2'
loop_
_atom_site_label
_atom_site_type_symbol
_atom_site_fract_x
_atom_site_fract_y
_atom_site_fract_z
Tl1 Tl 0.0000 0.0000 0.0000
P1 P 0.0000 0.5000 0.5000
P2 P 0.5000 0.0000 0.5000
Os1 Os 0.5000 0.5000 0.0000
```

Computed properties:
For the density of states at the Fermi level, the calculation gives 1.90 states/eV per cell. As for the volume: 65.2 Å³ per cell.

Which structure loses on stability? arrangement B does.

Arrangement A

Compound: TlP2Os
Source: Alexandria
Functional: SCAN
Structure: single point on PBEsol structure

Cell and atoms, written as CIF:
```
data_TlP2Os
_chemical_formula_sum 'Tl2 P4 Os2'
_cell_length_a 2.9433
_cell_length_b 2.9791
_cell_length_c 16.6386
_cell_angle_alpha 90.00
_cell_angle_beta 90.00
_cell_angle_gamma 90.00
_space_group_name_H-M_alt 'I m m 2'
_space_group_IT_number 44
_space_group_name_Hall 'I 2 -2'
loop_
_atom_site_label
_atom_site_type_symbol
_atom_site_fract_x
_atom_site_fract_y
_atom_site_fract_z
Tl1 Tl 0.0000 0.0000 0.0000
P1 P 0.0000 0.0000 0.3500
P2 P 0.0000 0.5000 0.1643
Os1 Os 0.0000 0.5000 0.7380
```

Computed properties:
For the density of states at the Fermi level, the calculation gives 3.06 states/eV per cell. As for the volume: 145.9 Å³ per cell.

Arrangement B

Compound: TlP2Os
Source: Alexandria
Functional: SCAN
Structure: single point on PBEsol structure

Cell and atoms, written as CIF:
```
data_TlP2Os
_chemical_formula_sum 'Tl2 P4 Os2'
_cell_length_a 5.4255
_cell_length_b 7.4278
_cell_length_c 3.2062
_cell_angle_alpha 90.00
_cell_angle_beta 90.00
_cell_angle_gamma 90.00
_space_group_name_H-M_alt 'C m m m'
_space_group_IT_number 65
_space_group_name_Hall '-C 2 2'
loop_
_atom_site_label
_atom_site_type_symbol
_atom_site_fract_x
_atom_site_fract_y
_atom_site_fract_z
Tl1 Tl 0.0000 0.0000 0.0000
P1 P 0.2500 0.2500 0.5000
Os1 Os 0.0000 0.5000 0.0000
```

Computed properties:
For the density of states at the Fermi level, the calculation gives 4.17 states/eV per cell. As for the volume: 129.2 Å³ per cell.

Which structure loses on stability? arrangement B does.

Arrangement A

Compound: ReOsPb2
Source: Alexandria
Functional: SCAN
Structure: single point on PBEsol structure

Cell and atoms, written as CIF:
```
data_ReOsPb2
_chemical_formula_sum 'Re4 Os4 Pb8'
_cell_length_a 6.7246
_cell_length_b 6.7246
_cell_length_c 6.7246
_cell_angle_alpha 90.00
_cell_angle_beta 90.00
_cell_angle_gamma 90.00
_space_group_name_H-M_alt 'F -4 3 m'
_space_group_IT_number 216
_space_group_name_Hall 'F -4 2 3'
loop_
_atom_site_label
_atom_site_type_symbol
_atom_site_fract_x
_atom_site_fract_y
_atom_site_fract_z
Re1 Re 0.0000 0.0000 0.0000
Os1 Os 0.2500 0.2500 0.2500
Pb1 Pb 0.0000 0.0000 0.5000
Pb2 Pb 0.2500 0.2500 0.7500
```

Computed properties:
For the density of states at the Fermi level, the calculation gives 13.30 states/eV per cell. As for the volume: 304.1 Å³ per cell.

Arrangement B

Compound: ReOsPb2
Source: Alexandria
Functional: SCAN
Structure: single point on PBEsol structure

Cell and atoms, written as CIF:
```
data_ReOsPb2
_chemical_formula_sum 'Re3 Os3 Pb6'
_cell_length_a 3.1295
_cell_length_b 3.1295
_cell_length_c 26.3294
_cell_angle_alpha 90.00
_cell_angle_beta 90.00
_cell_angle_gamma 120.00
_space_group_name_H-M_alt 'R -3 m'
_space_group_IT_number 166
_space_group_name_Hall '-R 3 2"'
loop_
_atom_site_label
_atom_site_type_symbol
_atom_site_fract_x
_atom_site_fract_y
_atom_site_fract_z
Re1 Re 0.0000 0.0000 0.0000
Os1 Os 0.0000 0.0000 0.5000
Pb1 Pb 0.0000 0.0000 0.2488
```

Computed properties:
For the density of states at the Fermi level, the calculation gives 9.56 states/eV per cell. As for the volume: 223.3 Å³ per cell.

Which structure loses on stability? arrangement A does.